Below is InPbCl2 after structural relaxation, with properties calculated at the PBE level.

a b c (Å): 3.717 3.717 8.219
angles (deg): 90.00 90.00 90.00
Fractional positions:
Pb (0.500, 0.500, 0.755)
Cl (0.000, 0.000, 0.946)
Cl (0.500, 0.500, 0.314)
In (0.000, 0.000, 0.485)

**N(E_F)**: 0.30 states/eV per atom
**Magnetic moment**: 0.000 μB per atom
**Crystal system**: tetragonal
**Space-group type**: No. 99
**Formation energy without anion corrections**: -575.0 meV/atom
**Electronic total energy**: -3.110 eV/atom
**Mass density**: 5.75 Mg/m³


Below is Li2PuBr6 after structural relaxation, with properties calculated at the PBE level.

a b c (Å): 6.950 6.573 11.848
angles (deg): 90.00 90.13 90.00
Fractional positions:
Li (0.999, 0.503, 0.833)
Li (0.501, 0.003, 0.667)
Li (0.499, 0.997, 0.333)
Li (0.001, 0.497, 0.167)
Pu (0.500, 0.500, 0.000)
Pu (0.000, 0.000, 0.500)
Br (0.173, 0.234, 0.334)
Br (0.173, 0.238, 0.664)
Br (0.168, 0.268, 0.999)
Br (0.332, 0.768, 0.501)
Br (0.327, 0.738, 0.836)
Br (0.327, 0.734, 0.166)
Br (0.827, 0.766, 0.666)
Br (0.827, 0.762, 0.336)
Br (0.832, 0.732, 0.001)
Br (0.668, 0.232, 0.499)
Br (0.673, 0.262, 0.164)
Br (0.673, 0.266, 0.834)

**N(E_F)**: 0.65 states/eV per atom
**Magnetic moment**: 0.444 μB per atom
**Crystal system**: monoclinic
**Space-group type**: No. 14
**Formation energy without anion corrections**: -1386.3 meV/atom
**Electronic total energy**: -4.519 eV/atom
**Mass density**: 4.52 Mg/m³


Below is Tb2Pm6Th after structural relaxation, with properties calculated at the PBE level.

a b c (Å): 3.623 3.623 26.994
angles (deg): 90.00 90.00 120.00
Fractional positions:
Tb (0.667, 0.333, 0.329)
Tb (0.667, 0.333, 0.671)
Pm (0.667, 0.333, 0.891)
Pm (0.333, 0.667, 0.434)
Pm (0.333, 0.667, 0.780)
Pm (0.333, 0.667, 0.220)
Pm (0.333, 0.667, 0.566)
Pm (0.667, 0.333, 0.109)
Th (0.333, 0.667, 0.000)

**N(E_F)**: 1.70 states/eV per atom
**Magnetic moment**: 0.000 μB per atom
**Crystal system**: hexagonal
**Space-group type**: No. 187
**Energy of formation**: 0.06 eV per atom
**Electronic total energy**: -4.959 eV/atom
**Mass density**: 7.68 Mg/m³


Below is CePm2Ge2Pt7 after structural relaxation, with properties calculated at the PBE level.

a b c (Å): 4.120 4.120 14.196
angles (deg): 83.92 83.92 89.09
Fractional positions:
Ce (0.000, 0.000, 0.000)
Pm (0.885, 0.885, 0.359)
Pm (0.115, 0.115, 0.641)
Ge (0.594, 0.594, 0.744)
Ge (0.406, 0.406, 0.256)
Pt (0.500, 0.500, 0.000)
Pt (0.375, 0.375, 0.430)
Pt (0.625, 0.625, 0.570)
Pt (0.942, 0.443, 0.154)
Pt (0.443, 0.942, 0.154)
Pt (0.557, 0.058, 0.846)
Pt (0.058, 0.557, 0.846)

**N(E_F)**: 0.76 states/eV per atom
**Magnetic moment**: 0.022 μB per atom
**Crystal system**: monoclinic
**Space-group type**: No. 12
**Energy of formation**: -0.94 eV per atom
**Electronic total energy**: -6.519 eV/atom
**Mass density**: 13.53 Mg/m³


Below is MnCdFeN2 after structural relaxation, with properties calculated at the PBE level.

a b c (Å): 4.137 4.978 4.137
angles (deg): 90.00 90.00 90.00
Fractional positions:
N (0.000, 0.000, 0.500)
N (0.500, 0.000, 0.000)
Mn (0.000, 0.500, 0.000)
Fe (0.500, 0.500, 0.500)
Cd (0.000, 0.000, 0.000)

**N(E_F)**: 0.87 states/eV per atom
**Magnetic moment**: 1.531 μB per atom
**Crystal system**: tetragonal
**Space-group type**: No. 123
**Formation energy without anion corrections**: 2329.8 meV/atom
**Electronic total energy**: -4.710 eV/atom
**Mass density**: 4.90 Mg/m³


Below is DyY4Os2 after structural relaxation, with properties calculated at the PBE level.

a b c (Å): 6.306 7.951 7.833
angles (deg): 112.33 90.00 90.00
Fractional positions:
Dy (0.250, 0.840, 0.971)
Dy (0.750, 0.160, 0.029)
Y (0.501, 0.418, 0.761)
Y (0.250, 0.249, 0.325)
Y (0.750, 0.751, 0.675)
Y (0.999, 0.418, 0.761)
Y (0.750, 0.021, 0.379)
Y (0.001, 0.582, 0.239)
Y (0.499, 0.582, 0.239)
Y (0.250, 0.979, 0.621)
Os (0.250, 0.253, 0.975)
Os (0.750, 0.747, 0.025)
Os (0.750, 0.376, 0.413)
Os (0.250, 0.624, 0.587)

**N(E_F)**: 0.96 states/eV per atom
**Magnetic moment**: 0.000 μB per atom
**Crystal system**: monoclinic
**Space-group type**: No. 11
**Energy of formation**: -0.14 eV per atom
**Electronic total energy**: -7.701 eV/atom
**Mass density**: 8.21 Mg/m³


Please write out number 2 again, unchanged.
Below is Li2PuBr6 after structural relaxation, with properties calculated at the PBE level.

a b c (Å): 6.950 6.573 11.848
angles (deg): 90.00 90.13 90.00
Fractional positions:
Li (0.999, 0.503, 0.833)
Li (0.501, 0.003, 0.667)
Li (0.499, 0.997, 0.333)
Li (0.001, 0.497, 0.167)
Pu (0.500, 0.500, 0.000)
Pu (0.000, 0.000, 0.500)
Br (0.173, 0.234, 0.334)
Br (0.173, 0.238, 0.664)
Br (0.168, 0.268, 0.999)
Br (0.332, 0.768, 0.501)
Br (0.327, 0.738, 0.836)
Br (0.327, 0.734, 0.166)
Br (0.827, 0.766, 0.666)
Br (0.827, 0.762, 0.336)
Br (0.832, 0.732, 0.001)
Br (0.668, 0.232, 0.499)
Br (0.673, 0.262, 0.164)
Br (0.673, 0.266, 0.834)

**N(E_F)**: 0.65 states/eV per atom
**Magnetic moment**: 0.444 μB per atom
**Crystal system**: monoclinic
**Space-group type**: No. 14
**Formation energy without anion corrections**: -1386.3 meV/atom
**Electronic total energy**: -4.519 eV/atom
**Mass density**: 4.52 Mg/m³


Which value of mass density does entry 4 give? 13.53 Mg/m³